No. 1
Here is a relaxed structure of HfRe2Mo from Alexandria via LeMat-Bulk. Energies are from PBE.

It has space group P4/mmm (No. 123), with a = 4.526 Å, b = 4.526 Å, c = 3.200 Å, α = 90.00°, β = 90.00° and γ = 90.00°. The asymmetric unit holds Hf at (0.000, 0.000, 0.000), Re at (0.000, 0.500, 0.500) and Mo at (0.500, 0.500, 0.000).

The value obtained for the total DFT energy (no corrections) is -11.60 eV/atom.

***

No. 2
Here is a relaxed structure of HfRe3Mo from Alexandria via LeMat-Bulk. Energies are from PBE.

It has space group Pm-3m (No. 221), with a = 4.667 Å, b = 4.667 Å, c = 4.667 Å, α = 90.00°, β = 90.00° and γ = 90.00°. The asymmetric unit holds Hf at (0.000, 0.000, 0.000), Re at (0.000, 0.500, 0.500) and Mo at (0.500, 0.500, 0.500).

The value obtained for the total DFT energy (no corrections) is -10.01 eV/atom.

***

For the records above, the corresponding energy of formation values read -0.182 1.619 eV/atom.